(1)
VASP calculation (PBE) on a geometry-optimized PrNd3Y6 structure.

Cell and atoms, written as CIF:
```
data_PrNd3Y6
_chemical_formula_sum 'Pr3 Nd9 Y18'
_cell_length_a 10.0237
_cell_length_b 10.0237
_cell_length_c 11.7382
_cell_angle_alpha 90.00
_cell_angle_beta 90.00
_cell_angle_gamma 120.00
_space_group_name_H-M_alt 'R 3 2'
_space_group_IT_number 155
_space_group_name_Hall 'R 3 2"'
loop_
_atom_site_label
_atom_site_type_symbol
_atom_site_fract_x
_atom_site_fract_y
_atom_site_fract_z
Pr1 Pr 0.0000 0.0000 0.0000
Nd1 Nd 0.0000 0.0000 0.2511
Nd2 Nd 0.0000 0.0000 0.5000
Y1 Y 0.0000 0.3267 0.0000
Y2 Y 0.0000 0.6741 0.5000
```

Computed properties:
V (Å³ per atom): 34.05
M_tot (μB per formula unit): 0.00
DOS(E_F) (states/eV/atom): 2.15
Distance to the lowest polymorph of the same formula (meV per atom): 123
Calculated formation energy (meV/atom): 263

---

(2)
VASP calculation (PBE) on a geometry-optimized Pr2Nd12Y5 structure.

Cell and atoms, written as CIF:
```
data_Pr2Nd12Y5
_chemical_formula_sum 'Pr4 Nd24 Y10'
_cell_length_a 22.457
_cell_length_b 7.207
_cell_length_c 8.831
_cell_angle_alpha 90.00
_cell_angle_beta 109.56
_cell_angle_gamma 90.00
_space_group_name_H-M_alt 'C 1 2/m 1'
_space_group_IT_number 12
_space_group_name_Hall '-C 2y'
loop_
_atom_site_label
_atom_site_type_symbol
_atom_site_fract_x
_atom_site_fract_y
_atom_site_fract_z
Pr1 Pr 0.000 0.247 0.000
Nd1 Nd 0.048 0.000 0.692
Nd2 Nd 0.107 0.243 0.387
Nd3 Nd 0.147 0.500 0.071
Nd4 Nd 0.198 0.247 0.793
Y1 Y 0.000 0.500 0.500
Y2 Y 0.153 0.000 0.098
Y3 Y 0.249 0.500 0.492
```

Computed properties:
V (Å³ per atom): 35.44
M_tot (μB per formula unit): 0.00
DOS(E_F) (states/eV/atom): 1.44
Distance to the lowest polymorph of the same formula (meV per atom): 4
Calculated formation energy (meV/atom): 124

---

(3)
VASP calculation (PBE) on a geometry-optimized Pr3Nd8Y4 structure.

Cell and atoms, written as CIF:
```
data_Pr3Nd8Y4
_chemical_formula_sum 'Pr6 Nd16 Y8'
_cell_length_a 14.092
_cell_length_b 12.341
_cell_length_c 6.971
_cell_angle_alpha 90.00
_cell_angle_beta 119.01
_cell_angle_gamma 90.00
_space_group_name_H-M_alt 'C 1 2/m 1'
_space_group_IT_number 12
_space_group_name_Hall '-C 2y'
loop_
_atom_site_label
_atom_site_type_symbol
_atom_site_fract_x
_atom_site_fract_y
_atom_site_fract_z
Pr1 Pr 0.000 0.000 0.000
Pr2 Pr 0.250 0.250 0.000
Nd1 Nd 0.000 0.205 0.500
Nd2 Nd 0.000 0.252 0.000
Nd3 Nd 0.204 0.000 0.697
Nd4 Nd 0.247 0.500 0.757
Y1 Y 0.000 0.500 0.000
Y2 Y 0.000 0.500 0.500
Y3 Y 0.250 0.250 0.500
```

Computed properties:
V (Å³ per atom): 35.34
M_tot (μB per formula unit): 0.00
DOS(E_F) (states/eV/atom): 1.57
Calculated formation energy (meV/atom): 318

---

(4)
VASP calculation (PBE) on a geometry-optimized Pr2NdY8 structure.

Cell and atoms, written as CIF:
```
data_Pr2NdY8
_chemical_formula_sum 'Pr4 Nd2 Y16'
_cell_length_a 9.114
_cell_length_b 16.120
_cell_length_c 5.966
_cell_angle_alpha 90.00
_cell_angle_beta 121.71
_cell_angle_gamma 90.00
_space_group_name_H-M_alt 'C 1 2/m 1'
_space_group_IT_number 12
_space_group_name_Hall '-C 2y'
loop_
_atom_site_label
_atom_site_type_symbol
_atom_site_fract_x
_atom_site_fract_y
_atom_site_fract_z
Pr1 Pr 0.000 0.195 0.000
Nd1 Nd 0.000 0.500 0.500
Y1 Y 0.000 0.290 0.500
Y2 Y 0.077 0.000 0.297
Y3 Y 0.214 0.385 0.165
```

Computed properties:
V (Å³ per atom): 33.90
M_tot (μB per formula unit): 0.00
DOS(E_F) (states/eV/atom): 1.58
Calculated formation energy (meV/atom): 153

---

(5)
VASP calculation (PBE) on a geometry-optimized Pr12Nd2Y5 structure.

Cell and atoms, written as CIF:
```
data_Pr12Nd2Y5
_chemical_formula_sum 'Pr24 Nd4 Y10'
_cell_length_a 16.125
_cell_length_b 9.417
_cell_length_c 8.902
_cell_angle_alpha 90.00
_cell_angle_beta 92.00
_cell_angle_gamma 90.00
_space_group_name_H-M_alt 'C 1 2/m 1'
_space_group_IT_number 12
_space_group_name_Hall '-C 2y'
loop_
_atom_site_label
_atom_site_type_symbol
_atom_site_fract_x
_atom_site_fract_y
_atom_site_fract_z
Pr1 Pr 0.061 0.000 0.345
Pr2 Pr 0.081 0.500 0.884
Pr3 Pr 0.129 0.197 0.678
Pr4 Pr 0.151 0.319 0.238
Nd1 Nd 0.000 0.171 0.000
Y1 Y 0.000 0.500 0.500
Y2 Y 0.205 0.000 0.031
Y3 Y 0.231 0.500 0.567
```

Computed properties:
V (Å³ per atom): 35.55
M_tot (μB per formula unit): 0.00
DOS(E_F) (states/eV/atom): 1.35
Distance to the lowest polymorph of the same formula (meV per atom): 0
Calculated formation energy (meV/atom): 115

---

(6)
VASP calculation (PBE) on a geometry-optimized Pr7Nd2Y3 structure.

Cell and atoms, written as CIF:
```
data_Pr7Nd2Y3
_chemical_formula_sum 'Pr7 Nd2 Y3'
_cell_length_a 5.997
_cell_length_b 3.679
_cell_length_c 19.316
_cell_angle_alpha 90.00
_cell_angle_beta 93.62
_cell_angle_gamma 90.00
_space_group_name_H-M_alt 'P 1 2/m 1'
_space_group_IT_number 10
_space_group_name_Hall '-P 2y'
loop_
_atom_site_label
_atom_site_type_symbol
_atom_site_fract_x
_atom_site_fract_y
_atom_site_fract_z
Pr1 Pr 0.000 0.000 0.000
Pr2 Pr 0.179 0.500 0.181
Pr3 Pr 0.258 0.500 0.535
Pr4 Pr 0.323 0.000 0.855
Nd1 Nd 0.294 0.500 0.702
Y1 Y 0.218 0.000 0.368
Y2 Y 0.500 0.500 0.000
```

Computed properties:
V (Å³ per atom): 35.44
M_tot (μB per formula unit): 0.00
DOS(E_F) (states/eV/atom): 1.51
Calculated formation energy (meV/atom): 82

---

| no. | E_tot (Ha/atom) |
| --- | --- |
| 1 | -0.203 |
| 2 | -0.187 |
| 3 | -0.180 |
| 4 | -0.215 |
| 5 | -0.188 |
| 6 | -0.188 |